First-principles (PBE) data for a geometry-optimized K2HgOs structure, as listed in Alexandria via LeMat-Bulk.

The structure in CIF format:
```
data_K2HgOs
_space_group_name_H-M_alt 'C m m m'
_space_group_IT_number 65
_space_group_name_Hall '-C 2 2'
_cell_length_a 4.158
_cell_length_b 4.190
_cell_length_c 11.370
_cell_angle_alpha 90.00
_cell_angle_beta 90.00
_cell_angle_gamma 90.00
loop_
_atom_site_label
_atom_site_fract_x
_atom_site_fract_y
_atom_site_fract_z
_atom_site_occupancy
K1 0.000 0.000 0.230 1
Hg1 0.000 0.500 0.500 1
Os1 0.000 0.500 0.000 1
```

Summary:
* E_tot: -2.5170 eV/atom